The following is a PBE calculation of a relaxed Cs4TcO4 crystal, from OQMD.

Structure (CIF):
```
data_Cs4TcO4
_chemical_formula_sum 'Cs4 Tc1 O4'
_space_group_name_H-M_alt 'P 1'
_space_group_IT_number 1
_cell_length_a 6.1760
_cell_length_b 6.1760
_cell_length_c 6.6398
_cell_angle_alpha 105.28
_cell_angle_beta 105.28
_cell_angle_gamma 65.80
loop_
_space_group_symop_operation_xyz
'x,y,z'
loop_
_atom_site_label
_atom_site_type_symbol
_atom_site_fract_x
_atom_site_fract_y
_atom_site_fract_z
Cs1 Cs 0.1152 0.1152 0.3378
Cs2 Cs 0.3106 0.3106 0.9093
Cs3 Cs 0.6894 0.6894 0.0907
Cs4 Cs 0.8848 0.8848 0.6622
Tc1 Tc 0.5000 0.5000 0.5000
O1 O 0.1942 0.5965 0.3183
O2 O 0.4035 0.8058 0.6817
O3 O 0.5965 0.1942 0.3183
O4 O 0.8058 0.4035 0.6817
```

Values from the calculation:
SG: C2/m (12)
VASP energy, eV per atom: -5.019
Mass density, g/cm3: 5.25



The following is a PBE calculation of a relaxed CsTcO3 crystal, from OQMD.

Structure (CIF):
```
data_CsTcO3
_chemical_formula_sum 'Cs2 Tc2 O6'
_space_group_name_H-M_alt 'P 1'
_space_group_IT_number 1
_cell_length_a 7.2721
_cell_length_b 7.2721
_cell_length_c 7.2721
_cell_angle_alpha 44.25
_cell_angle_beta 44.25
_cell_angle_gamma 44.25
loop_
_space_group_symop_operation_xyz
'x,y,z'
loop_
_atom_site_label
_atom_site_type_symbol
_atom_site_fract_x
_atom_site_fract_y
_atom_site_fract_z
Cs1 Cs 0.1232 0.1232 0.1232
Cs2 Cs 0.8768 0.8768 0.8768
Tc1 Tc 0.3336 0.3336 0.3336
Tc2 Tc 0.6664 0.6664 0.6664
O1 O 0.0589 0.5598 0.5598
O2 O 0.4402 0.4402 0.9411
O3 O 0.4402 0.9411 0.4402
O4 O 0.5598 0.0589 0.5598
O5 O 0.5598 0.5598 0.0589
O6 O 0.9411 0.4402 0.4402
```

Values from the calculation:
SG: R-3m (166)
VASP energy, eV per atom: -6.760
Mass density, g/cm3: 5.44



The following is a PBE calculation of a relaxed Cs2Tc2O5 crystal, from OQMD.

Structure (CIF):
```
data_Cs2Tc2O5
_chemical_formula_sum 'Cs2 Tc2 O5'
_space_group_name_H-M_alt 'P 1'
_space_group_IT_number 1
_cell_length_a 3.9244
_cell_length_b 3.9244
_cell_length_c 9.2852
_cell_angle_alpha 90.00
_cell_angle_beta 90.00
_cell_angle_gamma 90.00
loop_
_space_group_symop_operation_xyz
'x,y,z'
loop_
_atom_site_label
_atom_site_type_symbol
_atom_site_fract_x
_atom_site_fract_y
_atom_site_fract_z
Cs1 Cs 0.0000 0.0000 0.0000
Cs2 Cs 0.0000 0.0000 0.5000
Tc1 Tc 0.5000 0.5000 0.2193
Tc2 Tc 0.5000 0.5000 0.7807
O1 O 0.0000 0.5000 0.2424
O2 O 0.0000 0.5000 0.7576
O3 O 0.5000 0.0000 0.2424
O4 O 0.5000 0.0000 0.7576
O5 O 0.5000 0.5000 0.0000
```

Values from the calculation:
Polymorph energy (0 for the lowest one), kJ per mole of atoms: 10.37
SG: P4/mmm (123)
VASP energy, eV per atom: -6.440
Mass density, g/cm3: 6.29



The following is a PBE calculation of a relaxed CsTcO3 crystal, from OQMD.

Structure (CIF):
```
data_CsTcO3
_chemical_formula_sum 'Cs1 Tc1 O3'
_space_group_name_H-M_alt 'P 1'
_space_group_IT_number 1
_cell_length_a 3.8788
_cell_length_b 3.8788
_cell_length_c 5.3371
_cell_angle_alpha 90.00
_cell_angle_beta 90.00
_cell_angle_gamma 90.00
loop_
_space_group_symop_operation_xyz
'x,y,z'
loop_
_atom_site_label
_atom_site_type_symbol
_atom_site_fract_x
_atom_site_fract_y
_atom_site_fract_z
Cs1 Cs 0.0000 0.0000 0.0000
Tc1 Tc 0.5000 0.5000 0.4927
O1 O 0.0000 0.5000 0.5370
O2 O 0.5000 0.0000 0.5370
O3 O 0.5000 0.5000 0.1543
```

Values from the calculation:
SG: P4mm (99)
VASP energy, eV per atom: -6.586
Mass density, g/cm3: 5.77



Number 1: magnetization 1.00 μB per formula unit. Number 2: magnetization 0.00 μB per formula unit. Number 3: magnetization 0.35 μB per formula unit. Number 4: magnetization 1.47 μB per formula unit.